<A>
The following is a DFT calculation (PBE) of crystalline Nd2BeZn at its relaxed geometry.

SG: No. 225
Mass density, g cm⁻³: 6.42
Magnetization, μB per cell: 0.0

Lattice parameters (Å, degrees): 5.102 5.102 5.102 60.00 60.00 60.00
Positions (direct):
Nd 0.250 0.250 0.250
Nd 0.750 0.750 0.750
Be 0.000 0.000 0.000
Zn 0.500 0.500 0.500


<B>
The following is a DFT calculation (PBE) of crystalline Nd2BeZn at its relaxed geometry.

SG: No. 166
Mass density, g cm⁻³: 5.49
Magnetization, μB per cell: 0.0

Lattice parameters (Å, degrees): 10.967 10.967 10.967 17.98 17.98 17.98
Positions (direct):
Nd 0.093 0.093 0.093
Nd 0.907 0.907 0.907
Be 0.000 0.000 0.000
Zn 0.500 0.500 0.500


<C>
The following is a DFT calculation (PBE) of crystalline Nd2BeZn at its relaxed geometry.

SG: No. 123
Mass density, g cm⁻³: 6.43
Magnetization, μB per cell: 0.0

Lattice parameters (Å, degrees): 3.589 3.589 7.277 90.00 90.00 90.00
Positions (direct):
Nd 0.000 0.000 0.232
Nd 0.000 0.000 0.768
Be 0.500 0.500 0.000
Zn 0.500 0.500 0.500


Of them, <B> has the lowest stability.


<A>
The following is a DFT calculation (PBE) of crystalline Be3Ni5 at its relaxed geometry.

SG: No. 123
Mass density, g cm⁻³: 7.11
Magnetization, μB per cell: 0.0

Lattice parameters (Å, degrees): 2.547 2.547 11.542 90.00 90.00 90.00
Positions (direct):
Be 0.000 0.000 0.000
Be 0.500 0.500 0.382
Be 0.500 0.500 0.618
Ni 0.000 0.000 0.268
Ni 0.000 0.000 0.500
Ni 0.000 0.000 0.732
Ni 0.500 0.500 0.116
Ni 0.500 0.500 0.884


<B>
The following is a DFT calculation (PBE) of crystalline Be3Ni5 at its relaxed geometry.

SG: No. 65
Mass density, g cm⁻³: 6.99
Magnetization, μB per cell: 0.0

Lattice parameters (Å, degrees): 4.649 4.649 3.699 90.00 90.00 107.72
Positions (direct):
Be 0.000 0.000 0.000
Be 0.264 0.736 0.500
Be 0.736 0.264 0.500
Ni 0.000 0.500 0.000
Ni 0.228 0.228 0.500
Ni 0.500 0.000 0.000
Ni 0.500 0.500 0.000
Ni 0.772 0.772 0.500


Of them, <B> has the lowest stability.


<A>
The following is a DFT calculation (PBE) of crystalline BeNi8 at its relaxed geometry.

SG: No. 139
Mass density, g cm⁻³: 8.37
Magnetization, μB per cell: 3.0

Lattice parameters (Å, degrees): 6.224 6.224 6.224 92.43 92.43 156.26
Positions (direct):
Be 0.000 0.000 0.000
Ni 0.000 0.333 0.333
Ni 0.000 0.667 0.667
Ni 0.333 0.000 0.333
Ni 0.343 0.343 0.686
Ni 0.343 0.657 0.000
Ni 0.657 0.343 0.000
Ni 0.657 0.657 0.314
Ni 0.667 0.000 0.667


<B>
The following is a DFT calculation (PBE) of crystalline BeNi8 at its relaxed geometry.

SG: No. 139
Mass density, g cm⁻³: 8.40
Magnetization, μB per cell: 3.5

Lattice parameters (Å, degrees): 5.497 5.497 5.497 95.76 95.76 143.07
Positions (direct):
Be 0.000 0.000 0.000
Ni 0.000 0.330 0.330
Ni 0.000 0.670 0.670
Ni 0.330 0.000 0.330
Ni 0.336 0.336 0.673
Ni 0.336 0.664 0.000
Ni 0.664 0.336 0.000
Ni 0.664 0.664 0.327
Ni 0.670 0.000 0.670


Of them, <A> has the lowest stability.